i) First-principles (PBE) data for Cs2NaBr3 after structural relaxation, as listed in Alexandria.

It has space group Cmcm (No. 63), with a = 13.718 Å, b = 9.404 Å, c = 8.233 Å, α = 90.00°, β = 90.00° and γ = 90.00°. The asymmetric unit holds Cs at (0.171, 0.174, 0.250), Na at (0.000, 0.411, 0.750), Br at (0.000, 0.111, 0.750) and Br at (0.148, 0.500, 0.000).

ii) First-principles (PBE) data for Cs2NaBr3 after structural relaxation, as listed in Alexandria.

It has space group C2/c (No. 15), with a = 15.521 Å, b = 7.344 Å, c = 9.593 Å, α = 90.00°, β = 107.99° and γ = 90.00°. The asymmetric unit holds Cs at (0.172, 0.001, 0.086), Na at (0.000, 0.451, 0.750), Br at (0.000, 0.055, 0.750) and Br at (0.137, 0.499, 0.568).

It is i) that is the least stable of them.

i) First-principles (PBE) data for CsRbNa2Br after structural relaxation, as listed in Alexandria.

It has space group P4/mmm (No. 123), with a = 6.499 Å, b = 6.499 Å, c = 6.812 Å, α = 90.00°, β = 90.00° and γ = 90.00°. The asymmetric unit holds Cs at (0.000, 0.000, 0.000), Rb at (0.500, 0.500, 0.000), Na at (0.000, 0.500, 0.500) and Br at (0.500, 0.500, 0.500).

ii) First-principles (PBE) data for CsRbNa2Br after structural relaxation, as listed in Alexandria.

It has space group P4/mmm (No. 123), with a = 6.415 Å, b = 6.415 Å, c = 7.058 Å, α = 90.00°, β = 90.00° and γ = 90.00°. The asymmetric unit holds Cs at (0.000, 0.000, 0.000), Rb at (0.500, 0.500, 0.000), Na at (0.000, 0.500, 0.500) and Br at (0.000, 0.000, 0.500).

It is i) that is the least stable of them.

i) First-principles (PBE) data for CsRb2NaBr after structural relaxation, as listed in Alexandria.

It has space group P4/mmm (No. 123), with a = 6.858 Å, b = 6.858 Å, c = 7.204 Å, α = 90.00°, β = 90.00° and γ = 90.00°. The asymmetric unit holds Cs at (0.000, 0.000, 0.000), Rb at (0.000, 0.500, 0.500), Na at (0.500, 0.500, 0.000) and Br at (0.000, 0.000, 0.500).

ii) First-principles (PBE) data for CsRb2NaBr after structural relaxation, as listed in Alexandria.

It has space group P4/mmm (No. 123), with a = 6.980 Å, b = 6.980 Å, c = 6.795 Å, α = 90.00°, β = 90.00° and γ = 90.00°. The asymmetric unit holds Cs at (0.000, 0.000, 0.000), Rb at (0.000, 0.500, 0.500), Na at (0.500, 0.500, 0.000) and Br at (0.500, 0.500, 0.500).

It is ii) that is the least stable of them.

i) First-principles (PBE) data for CsNaSeBr2 after structural relaxation, as listed in Alexandria.

It has space group P4/mmm (No. 123), with a = 5.841 Å, b = 5.841 Å, c = 5.554 Å, α = 90.00°, β = 90.00° and γ = 90.00°. The asymmetric unit holds Cs at (0.000, 0.000, 0.000), Na at (0.500, 0.500, 0.500), Se at (0.500, 0.500, 0.000) and Br at (0.000, 0.500, 0.500).

ii) First-principles (PBE) data for CsNaSeBr2 after structural relaxation, as listed in Alexandria.

It has space group P4/mmm (No. 123), with a = 6.699 Å, b = 6.699 Å, c = 5.942 Å, α = 90.00°, β = 90.00° and γ = 90.00°. The asymmetric unit holds Cs at (0.000, 0.000, 0.000), Na at (0.500, 0.500, 0.500), Se at (0.000, 0.000, 0.500) and Br at (0.000, 0.500, 0.000).

It is ii) that is the least stable of them.

i) First-principles (PBE) data for CsNaSe2Br after structural relaxation, as listed in Alexandria.

It has space group P4/mmm (No. 123), with a = 5.632 Å, b = 5.632 Å, c = 5.851 Å, α = 90.00°, β = 90.00° and γ = 90.00°. The asymmetric unit holds Cs at (0.000, 0.000, 0.000), Na at (0.500, 0.500, 0.500), Se at (0.000, 0.500, 0.500) and Br at (0.500, 0.500, 0.000).

ii) First-principles (PBE) data for CsNaSe2Br after structural relaxation, as listed in Alexandria.

It has space group P4/mmm (No. 123), with a = 5.669 Å, b = 5.669 Å, c = 6.121 Å, α = 90.00°, β = 90.00° and γ = 90.00°. The asymmetric unit holds Cs at (0.000, 0.000, 0.000), Na at (0.500, 0.500, 0.000), Se at (0.000, 0.500, 0.500) and Br at (0.000, 0.000, 0.500).

iii) First-principles (PBE) data for CsNaSe2Br after structural relaxation, as listed in Alexandria.

It has space group P4/mmm (No. 123), with a = 5.854 Å, b = 5.854 Å, c = 6.748 Å, α = 90.00°, β = 90.00° and γ = 90.00°. The asymmetric unit holds Cs at (0.000, 0.000, 0.000), Na at (0.500, 0.500, 0.500), Se at (0.000, 0.500, 0.000) and Br at (0.000, 0.000, 0.500).

It is iii) that is the least stable of them.

i) First-principles (PBE) data for CsNbBr3 after structural relaxation, as listed in Alexandria.

It has space group Immm (No. 71), with a = 8.461 Å, b = 8.839 Å, c = 10.983 Å, α = 90.00°, β = 90.00° and γ = 90.00°. The asymmetric unit holds Cs at (0.000, 0.000, 0.229), Nb at (0.132, 0.500, 0.000), Br at (0.000, 0.500, 0.233) and Br at (0.235, 0.225, 0.000).

ii) First-principles (PBE) data for CsNbBr3 after structural relaxation, as listed in Alexandria.

It has space group P-1 (No. 2), with a = 5.396 Å, b = 7.905 Å, c = 9.207 Å, α = 67.68°, β = 83.81° and γ = 80.73°. The asymmetric unit holds Cs at (0.245, 0.328, 0.326), Nb at (0.255, 0.947, 0.078), Br at (0.172, 0.897, 0.820), Br at (0.283, 0.767, 0.390) and Br at (0.331, 0.295, 0.918).

It is i) that is the least stable of them.

i) First-principles (PBE) data for CsNdBr3 after structural relaxation, as listed in Alexandria.

It has space group Pm-3m (No. 221), with a = 5.853 Å, b = 5.853 Å, c = 5.853 Å, α = 90.00°, β = 90.00° and γ = 90.00°. The asymmetric unit holds Cs at (0.000, 0.000, 0.000), Nd at (0.500, 0.500, 0.500) and Br at (0.000, 0.500, 0.500).

ii) First-principles (PBE) data for CsNdBr3 after structural relaxation, as listed in Alexandria.

It has space group Cmcm (No. 63), with a = 8.274 Å, b = 14.332 Å, c = 6.757 Å, α = 90.00°, β = 90.00° and γ = 90.00°. The asymmetric unit holds Cs at (0.000, 0.166, 0.250), Nd at (0.000, 0.500, 0.000), Br at (0.000, 0.327, 0.750) and Br at (0.241, 0.086, 0.750).

It is i) that is the least stable of them.

i) First-principles (PBE) data for CsNiBr2 after structural relaxation, as listed in Alexandria.

It has space group I-42d (No. 122), with a = 7.947 Å, b = 7.947 Å, c = 8.164 Å, α = 90.00°, β = 90.00° and γ = 90.00°. The asymmetric unit holds Cs at (0.000, 0.000, 0.000), Ni at (0.000, 0.000, 0.500) and Br at (0.126, 0.250, 0.625).

ii) First-principles (PBE) data for CsNiBr2 after structural relaxation, as listed in Alexandria.

It has space group R-3m (No. 166, hexagonal axes), with a = 4.1047 Å, b = 4.1047 Å, c = 27.9188 Å, α = 90.00°, β = 90.00° and γ = 120.00°. The asymmetric unit holds Cs at (0.0000, 0.0000, 0.0000), Ni at (0.0000, 0.0000, 0.5000) and Br at (0.0000, 0.0000, 0.1202).

It is ii) that is the least stable of them.

i) First-principles (PBE) data for CsNiBr after structural relaxation, as listed in Alexandria.

It has space group Pnma (No. 62), with a = 11.131 Å, b = 8.931 Å, c = 5.257 Å, α = 90.00°, β = 90.00° and γ = 90.00°. The asymmetric unit holds Cs at (0.250, 0.250, 0.250), Ni at (0.000, 0.250, 0.553) and Br at (0.000, 0.000, 0.500).

ii) First-principles (PBE) data for CsNiBr after structural relaxation, as listed in Alexandria.

It has space group Pnma (No. 62), with a = 10.675 Å, b = 4.520 Å, c = 8.525 Å, α = 90.00°, β = 90.00° and γ = 90.00°. The asymmetric unit holds Cs at (0.208, 0.250, 0.114), Ni at (0.007, 0.250, 0.466) and Br at (0.033, 0.250, 0.735).

It is i) that is the least stable of them.

i) First-principles (PBE) data for Cs2SrNiBr6 after structural relaxation, as listed in Alexandria.

It has space group Fm-3m (No. 225), with a = 11.213 Å, b = 11.213 Å, c = 11.213 Å, α = 90.00°, β = 90.00° and γ = 90.00°. The asymmetric unit holds Cs at (0.250, 0.250, 0.250), Sr at (0.000, 0.000, 0.000), Ni at (0.000, 0.000, 0.500) and Br at (0.000, 0.000, 0.269).

ii) First-principles (PBE) data for Cs2SrNiBr6 after structural relaxation, as listed in Alexandria.

It has space group P-3m1 (No. 164), with a = 7.8961 Å, b = 7.8961 Å, c = 7.2060 Å, α = 90.00°, β = 90.00° and γ = 120.00°. The asymmetric unit holds Cs at (0.3333, 0.6667, 0.3124), Sr at (0.0000, 0.0000, 0.0000), Ni at (0.0000, 0.0000, 0.5000) and Br at (0.1571, 0.3142, 0.7070).

It is i) that is the least stable of them.

i) First-principles (PBE) data for CsNp2Br8 after structural relaxation, as listed in Alexandria.

It has space group P4/mmm (No. 123), with a = 7.003 Å, b = 7.003 Å, c = 8.852 Å, α = 90.00°, β = 90.00° and γ = 90.00°. The asymmetric unit holds Cs at (0.000, 0.000, 0.000), Np at (0.000, 0.500, 0.500) and Br at (0.252, 0.252, 0.309).

ii) First-principles (PBE) data for CsNp2Br8 after structural relaxation, as listed in Alexandria.

It has space group P-3 (No. 147), with a = 10.4626 Å, b = 10.4626 Å, c = 5.7303 Å, α = 90.00°, β = 90.00° and γ = 120.00°. The asymmetric unit holds Cs at (0.0000, 0.0000, 0.0000), Np at (0.3333, 0.6667, 0.2715), Br at (0.1825, 0.3679, 0.2807) and Br at (0.3333, 0.6667, 0.7797).

It is ii) that is the least stable of them.